[1]
Material: CsAg3IrS4
Method: DFT, PBE
State: optimized geometry

Lattice parameters (Å, degrees): 6.4125 6.4125 6.4125 90.00 90.00 90.00
Closest atoms and distances in Å follow each position.
Space group P-43m (No. 215)
Symmetry-distinct sites (fractional):
Cs: 0.0000 0.0000 0.0000  4 S 3.27
Ag: 0.0000 0.5000 0.5000  4 S 2.65
Ir: 0.5000 0.5000 0.5000  4 S 2.28
S: 0.2948 0.2948 0.2948  1 Ir 2.28

Calculated total energy: -3.97 eV per atom

***

[2]
Material: NdGd2Pd3Pb3
Method: DFT, PBE
State: optimized geometry

Lattice parameters (Å, degrees): 4.0136 13.5784 7.8144 90.00 90.00 90.00
Closest atoms and distances in Å follow each position.
Space group Amm2 (No. 38)
Symmetry-distinct sites (fractional):
Nd: 0.0000 0.0000 0.0000  5 Pd 3.14-3.21, 6 Pb 3.28-3.44
Gd: 0.0000 0.2032 0.6096  5 Pd 3.09-3.17, 6 Pb 3.29-3.44
Pd: 0.0000 0.0000 0.4106  6 Pb 2.84-2.87, 2 Gd 3.17
Pd: 0.5000 0.1694 0.9053  3 Pb 2.89-2.96, 4 Gd 3.09, 2 Nd 3.14
Pb: 0.5000 0.0000 0.6679  4 Pd 2.84-2.96
Pb: 0.5000 0.1306 0.2770  4 Pd 2.87-2.95

Calculated total energy: -5.25 eV per atom

***

[3]
Material: SmCoB
Method: DFT, PBE
State: optimized geometry

Lattice parameters (Å, degrees): 3.5600 3.5600 7.8472 90.00 90.00 90.00
Closest atoms and distances in Å follow each position.
Space group P4/nmm (No. 129, origin choice 2)
Symmetry-distinct sites (fractional):
Sm: 0.2500 0.2500 0.2032  4 B 2.87, 4 Co 2.93
Co: 0.2500 0.7500 0.5000  4 B 2.02
B: 0.2500 0.2500 0.6210  4 Co 2.02

Offset from the most stable computed form: 0 meV/atom

***

[4]
Material: ThZrSn
Method: DFT, PBE
State: optimized geometry

Lattice parameters (Å, degrees): 7.1503 7.1503 7.1503 90.00 90.00 90.00
Closest atoms and distances in Å follow each position.
Space group F-43m (No. 216)
Symmetry-distinct sites (fractional):
Th: 0.0000 0.0000 0.0000  4 Sn 3.10
Zr: 0.0000 0.0000 0.5000  4 Sn 3.10
Sn: 0.2500 0.2500 0.2500  4 Zr 3.10, 4 Th 3.10

Calculated total energy: -6.65 eV per atom

***

[5]
Material: HoGePt2
Method: DFT, PBE
State: optimized geometry

Lattice parameters (Å, degrees): 4.1039 5.6534 6.9680 90.00 90.00 90.00
Closest atoms and distances in Å follow each position.
Space group Pmc2_1 (No. 26)
Symmetry-distinct sites (fractional):
Ho: 0.0000 0.1715 0.0000  7 Pt 2.77-3.05
Ge: 0.5000 0.3407 0.3875  3 Pt 2.49-2.52
Pt: 0.0000 0.3543 0.5978  2 Ge 2.52, 1 Ho 2.77, 2 Pt 2.81
Pt: 0.5000 0.0535 0.7274  1 Ge 2.49

Calculated total energy: -6.14 eV per atom

***

[6]
Material: PmLuAsO
Method: DFT, PBE
State: optimized geometry

Lattice parameters (Å, degrees): 4.3491 4.3491 8.8887 90.00 90.00 90.00
Closest atoms and distances in Å follow each position.
Space group P4/nmm (No. 129, origin choice 2)
Symmetry-distinct sites (fractional):
Pm: 0.2500 0.2500 0.1109  4 O 2.39
Lu: 0.2500 0.7500 0.5000  4 As 2.78, 4 Lu 3.08
As: 0.2500 0.2500 0.6948  4 Lu 2.78
O: 0.2500 0.7500 0.0000  4 Pm 2.39

Offset from the most stable computed form: 0 meV/atom

***

[7]
Material: ScOsN
Method: DFT, PBE
State: optimized geometry

Lattice parameters (Å, degrees): 6.4006 6.4006 3.1609 90.00 90.00 120.00
Closest atoms and distances in Å follow each position.
Space group P-62m (No. 189)
Symmetry-distinct sites (fractional):
Sc: 0.0000 0.5823 0.0000  5 N 2.49-2.67, 2 Os 2.72
Os: 0.0000 0.2357 0.5000  2 N 2.19
N: 0.0000 0.0000 0.0000  6 Os 2.19
N: 0.3333 0.6667 0.5000  6 Sc 2.49, 3 Os 2.50

Calculated total energy: -8.77 eV per atom

***

[8]
Material: BaLaTm
Method: DFT, PBE
State: optimized geometry

Lattice parameters (Å, degrees): 8.3044 8.3044 8.3044 90.00 90.00 90.00
Closest atoms and distances in Å follow each position.
Space group F-43m (No. 216)
Symmetry-distinct sites (fractional):
Ba: 0.0000 0.0000 0.0000  4 Tm 3.60
La: 0.0000 0.0000 0.5000  4 Tm 3.60
Tm: 0.2500 0.2500 0.2500  4 Ba 3.60, 4 La 3.60

Offset from the most stable computed form: 0 meV/atom

***

[9]
Material: NdGePd2
Method: DFT, PBE
State: optimized geometry

Lattice parameters (Å, degrees): 7.5672 7.1510 5.7710 90.00 90.00 90.00
Closest atoms and distances in Å follow each position.
Space group Pnma (No. 62)
Symmetry-distinct sites (fractional):
Nd: 0.0291 0.2500 0.1465  8 Pd 3.09-3.29, 3 Ge 3.11-3.13
Ge: 0.1227 0.7500 0.3537  6 Pd 2.57-2.70
Pd: 0.1790 0.0530 0.5880  3 Ge 2.57-2.70, 1 Pd 2.82

Calculated total energy: -5.81 eV per atom

***

[10]
Material: Zr2H
Method: DFT, PBE
State: optimized geometry

Lattice parameters (Å, degrees): 8.8620 8.8620 8.8620 90.00 90.00 90.00
Closest atoms and distances in Å follow each position.
Space group Fd-3m (No. 227, origin choice 2)
Symmetry-distinct sites (fractional):
Zr: 0.0000 0.0000 0.0000  2 H 1.92
H: 0.1250 0.1250 0.1250  4 Zr 1.92

Calculated total energy: -5.74 eV per atom

***

[11]
Material: Tl2HgSbCl6
Method: DFT, PBE
State: optimized geometry

Lattice parameters (Å, degrees): 10.8981 10.8981 10.8981 90.00 90.00 90.00
Closest atoms and distances in Å follow each position.
Space group Fm-3m (No. 225)
Symmetry-distinct sites (fractional):
Tl: 0.2500 0.2500 0.2500  12 Cl 3.85
Hg: 0.0000 0.0000 0.0000  6 Cl 2.81
Sb: 0.0000 0.0000 0.5000  6 Cl 2.64
Cl: 0.0000 0.0000 0.2579  1 Sb 2.64, 1 Hg 2.81

Calculated total energy: -2.79 eV per atom

***

[12]
Material: CuPt3S5
Method: DFT, PBE
State: optimized geometry

Lattice parameters (Å, degrees): 6.1852 6.1852 6.0368 90.00 90.00 120.00
Closest atoms and distances in Å follow each position.
Space group P6/mmm (No. 191)
Symmetry-distinct sites (fractional):
Cu: 0.0000 0.0000 0.0000  2 S 3.02
Pt: 0.0000 0.5000 0.5000  4 S 2.35
S: 0.0000 0.0000 0.5000  2 Cu 3.02, 6 Pt 3.09
S: 0.3333 0.6667 0.2472  3 Pt 2.35

Calculated total energy: -4.47 eV per atom

***

[13]
Material: LaGdGa
Method: DFT, PBE
State: optimized geometry

Lattice parameters (Å, degrees): 7.1826 7.1826 7.1826 90.00 90.00 90.00
Closest atoms and distances in Å follow each position.
Space group F-43m (No. 216)
Symmetry-distinct sites (fractional):
La: 0.0000 0.0000 0.0000  4 Ga 3.11
Gd: 0.0000 0.0000 0.5000  4 Ga 3.11
Ga: 0.2500 0.2500 0.7500  4 La 3.11, 4 Gd 3.11

Offset from the most stable computed form: 0 meV/atom

***

[14]
Material: HfGaNiIr
Method: DFT, PBE
State: optimized geometry

Lattice parameters (Å, degrees): 6.2750 6.2750 6.2750 90.00 90.00 90.00
Closest atoms and distances in Å follow each position.
Space group F-43m (No. 216)
Symmetry-distinct sites (fractional):
Hf: 0.0000 0.0000 0.0000  4 Ir 2.72, 4 Ga 2.72
Ga: 0.2500 0.2500 0.2500  4 Hf 2.72, 4 Ni 2.72
Ni: 0.0000 0.0000 0.5000  4 Ir 2.72, 4 Ga 2.72
Ir: 0.2500 0.2500 0.7500  4 Hf 2.72, 4 Ni 2.72

Calculated total energy: -7.18 eV per atom

***

[15]
Material: ErI3
Method: DFT, PBE
State: optimized geometry

Lattice parameters (Å, degrees): 7.2165 7.2165 13.0562 90.00 90.00 90.00
Closest atoms and distances in Å follow each position.
Space group P4_2/mnm (No. 136)
Symmetry-distinct sites (fractional):
Er: 0.0000 0.0000 0.1687  6 I 3.01-3.03
I: 0.2003 0.2003 0.0000  2 Er 3.01
I: 0.2033 0.2033 0.3354  2 Er 3.01-3.03

Calculated total energy: -3.63 eV per atom

***

[16]
Material: Y7Co6Sn23
Method: DFT, PBE
State: optimized geometry

Lattice parameters (Å, degrees): 10.1694 10.1694 10.7762 90.00 90.00 120.00
Closest atoms and distances in Å follow each position.
Space group P-3m1 (No. 164)
Symmetry-distinct sites (fractional):
Y: 0.0000 0.0000 0.0000  12 Sn 3.52-3.83, 6 Co 3.81
Y: 0.0556 0.5278 0.2941  2 Co 2.90, 1 Sn 3.23
Co: 0.1963 0.3927 0.1476  4 Sn 2.32-2.47
Sn: 0.0000 0.0000 0.5000  6 Sn 2.81
Sn: 0.0000 0.3466 0.0000  2 Co 2.41
Sn: 0.1084 0.2167 0.3081  1 Co 2.32
Sn: 0.2287 0.4573 0.5558  4 Sn 3.15-3.41, 2 Y 3.38
Sn: 0.3333 0.6667 0.0978  3 Co 2.47
Sn: 0.3333 0.6667 0.7934  4 Sn 3.15-3.28

Offset from the most stable computed form: 289 meV/atom

***

[17]
Material: SmScBe
Method: DFT, PBE
State: optimized geometry

Lattice parameters (Å, degrees): 6.5918 6.5918 6.5918 90.00 90.00 90.00
Closest atoms and distances in Å follow each position.
Space group F-43m (No. 216)
Symmetry-distinct sites (fractional):
Sm: 0.0000 0.0000 0.0000  4 Be 2.85, 4 Sc 2.85
Sc: 0.2500 0.2500 0.2500  4 Sm 2.85
Be: 0.2500 0.2500 0.7500  4 Sm 2.85

Offset from the most stable computed form: 145 meV/atom

***

[18]
Material: UCdW
Method: DFT, PBE
State: optimized geometry

Lattice parameters (Å, degrees): 6.6122 6.6122 6.6122 90.00 90.00 90.00
Closest atoms and distances in Å follow each position.
Space group F-43m (No. 216)
Symmetry-distinct sites (fractional):
U: 0.0000 0.0000 0.0000  4 Cd 2.86, 4 W 2.86
Cd: 0.2500 0.2500 0.7500  4 U 2.86
W: 0.2500 0.2500 0.2500  4 U 2.86

Offset from the most stable computed form: 492 meV/atom

***

[19]
Material: Ho4CI2Br3
Method: DFT, PBE
State: optimized geometry

Lattice parameters (Å, degrees): 18.4809 3.8441 8.1631 90.00 102.22 90.00
Closest atoms and distances in Å follow each position.
Space group C2/m (No. 12)
Symmetry-distinct sites (fractional):
Ho: 0.0008 0.0000 0.3011  2 C 2.52
Ho: 0.1323 0.5000 0.5694  1 C 2.39
C: 0.0000 0.5000 0.5000  6 Ho 2.39-2.52
I: 0.1706 0.0000 0.3098  3 Ho 3.05-3.12
Br: 0.0000 0.5000 0.0000  4 Ho 3.12
Br: 0.1570 0.0000 0.8333  3 Ho 2.85-2.89

Offset from the most stable computed form: 0 meV/atom

***

[20]
Material: LuTh
Method: DFT, PBE
State: optimized geometry

Lattice parameters (Å, degrees): 6.9137 6.9137 6.9137 90.00 90.00 90.00
Closest atoms and distances in Å follow each position.
Space group F-43m (No. 216)
Symmetry-distinct sites (fractional):
Lu: 0.0000 0.0000 0.0000  4 Th 2.99
Th: 0.2500 0.2500 0.7500  4 Lu 2.99

Offset from the most stable computed form: 2038 meV/atom

***

[21]
Material: LuCdInCu
Method: DFT, PBE
State: optimized geometry

Lattice parameters (Å, degrees): 6.8917 6.8917 6.8917 90.00 90.00 90.00
Closest atoms and distances in Å follow each position.
Space group F-43m (No. 216)
Symmetry-distinct sites (fractional):
Lu: 0.0000 0.0000 0.0000  4 Cd 2.98, 4 In 2.98
Cd: 0.2500 0.2500 0.7500  4 Cu 2.98, 4 Lu 2.98
In: 0.2500 0.2500 0.2500  4 Cu 2.98, 4 Lu 2.98
Cu: 0.0000 0.0000 0.5000  4 In 2.98, 4 Cd 2.98

Offset from the most stable computed form: 81 meV/atom